No. 1
# Ca3NbSe, relaxed, DFT GGA-PBE
data_Ca3NbSe
_chemical_formula_sum 'Ca3 Nb1 Se1'
_cell_length_a 5.5434
_cell_length_b 5.5434
_cell_length_c 5.5434
_cell_angle_alpha 90.00
_cell_angle_beta 90.00
_cell_angle_gamma 90.00
_symmetry_space_group_name_H-M 'P m -3 m'
_symmetry_Int_Tables_number 221
_symmetry_space_group_name_Hall '-P 4 2 3'
loop_
_atom_site_label
_atom_site_type_symbol
_atom_site_fract_x
_atom_site_fract_y
_atom_site_fract_z
Ca1 Ca 0.0000 0.0000 0.5000
Nb1 Nb 0.5000 0.5000 0.5000
Se1 Se 0.0000 0.0000 0.0000
# energy relative to the elements, uncorrected: 0.014 eV/atom
# total magnetization: 4.76 Bohr magnetons per cell
# distance to the lowest polymorph of the same formula: 0.0000 eV/atom

No. 2
# Cs2TaNbNi, relaxed, DFT GGA-PBE
data_Cs2TaNbNi
_chemical_formula_sum 'Cs2 Ta1 Nb1 Ni1'
_cell_length_a 6.8073
_cell_length_b 6.8073
_cell_length_c 4.4575
_cell_angle_alpha 90.00
_cell_angle_beta 90.00
_cell_angle_gamma 90.00
_symmetry_space_group_name_H-M 'P 4/m m m'
_symmetry_Int_Tables_number 123
_symmetry_space_group_name_Hall '-P 4 2'
loop_
_atom_site_label
_atom_site_type_symbol
_atom_site_fract_x
_atom_site_fract_y
_atom_site_fract_z
Cs1 Cs 0.0000 0.5000 0.0000
Ta1 Ta 0.0000 0.0000 0.5000
Nb1 Nb 0.5000 0.5000 0.0000
Ni1 Ni 0.5000 0.5000 0.5000
# total magnetization: 3.18 Bohr magnetons per cell
# formation energy from the elements: 2.387 eV per atom

No. 3
# TbErZnAu, relaxed, DFT GGA-PBE
data_TbErZnAu
_chemical_formula_sum 'Tb4 Er4 Zn4 Au4'
_cell_length_a 7.1595
_cell_length_b 7.1595
_cell_length_c 7.1595
_cell_angle_alpha 90.00
_cell_angle_beta 90.00
_cell_angle_gamma 90.00
_symmetry_space_group_name_H-M 'F -4 3 m'
_symmetry_Int_Tables_number 216
_symmetry_space_group_name_Hall 'F -4 2 3'
loop_
_atom_site_label
_atom_site_type_symbol
_atom_site_fract_x
_atom_site_fract_y
_atom_site_fract_z
Tb1 Tb 0.0000 0.0000 0.0000
Er1 Er 0.0000 0.0000 0.5000
Zn1 Zn 0.2500 0.2500 0.7500
Au1 Au 0.2500 0.2500 0.2500
# total magnetization: 0.00 Bohr magnetons per cell
# formation energy from the elements: -0.599 eV per atom

No. 4
# CsAcCl, relaxed, DFT GGA-PBE
data_CsAcCl
_chemical_formula_sum 'Cs4 Ac4 Cl4'
_cell_length_a 12.9404
_cell_length_b 3.9822
_cell_length_c 10.7092
_cell_angle_alpha 90.00
_cell_angle_beta 92.14
_cell_angle_gamma 90.00
_symmetry_space_group_name_H-M 'C 1 2/m 1'
_symmetry_Int_Tables_number 12
loop_
_symmetry_equiv_pos_as_xyz
'x,y,z'
'-x,-y,-z'
'-x,y,-z'
'x,-y,z'
'x+1/2,y+1/2,z'
'-x+1/2,-y+1/2,-z'
'-x+1/2,y+1/2,-z'
'x+1/2,-y+1/2,z'
loop_
_atom_site_label
_atom_site_type_symbol
_atom_site_fract_x
_atom_site_fract_y
_atom_site_fract_z
Cs1 Cs 0.1284 0.0000 0.3390
Ac1 Ac 0.1315 0.5000 0.9208
Cl1 Cl 0.1426 0.0000 0.6767
# energy relative to the elements, uncorrected: -0.918 eV/atom
# total magnetization: 0.00 Bohr magnetons per cell

No. 5
# La3NdY7, relaxed, DFT GGA-PBE
data_La3NdY7
_chemical_formula_sum 'La3 Nd1 Y7'
_cell_length_a 7.1669
_cell_length_b 7.1669
_cell_length_c 8.8432
_cell_angle_alpha 90.00
_cell_angle_beta 90.00
_cell_angle_gamma 120.00
_symmetry_space_group_name_H-M 'P 3 m 1'
_symmetry_Int_Tables_number 156
loop_
_symmetry_equiv_pos_as_xyz
'x,y,z'
'-y,x-y,z'
'-x+y,-x,z'
'-y,-x,z'
'-x+y,y,z'
'x,x-y,z'
loop_
_atom_site_label
_atom_site_type_symbol
_atom_site_fract_x
_atom_site_fract_y
_atom_site_fract_z
La1 La 0.9997 0.4999 0.0000
Nd1 Nd 0.3333 0.6667 0.3383
Y1 Y 0.1671 0.3341 0.6620
Y2 Y 0.3345 0.1673 0.3396
Y3 Y 0.6667 0.3333 0.6612
# total magnetization: 0.00 Bohr magnetons per cell
# formation energy from the elements: 0.175 eV per atom
# distance to the lowest polymorph of the same formula: 0.0603 eV/atom

No. 6
# BaMn2Pt, relaxed, DFT GGA-PBE
data_BaMn2Pt
_chemical_formula_sum 'Ba4 Mn8 Pt4'
_cell_length_a 6.5179
_cell_length_b 6.5179
_cell_length_c 6.5179
_cell_angle_alpha 90.00
_cell_angle_beta 90.00
_cell_angle_gamma 90.00
_symmetry_space_group_name_H-M 'F m -3 m'
_symmetry_Int_Tables_number 225
_symmetry_space_group_name_Hall '-F 4 2 3'
loop_
_atom_site_label
_atom_site_type_symbol
_atom_site_fract_x
_atom_site_fract_y
_atom_site_fract_z
Ba1 Ba 0.0000 0.0000 0.0000
Mn1 Mn 0.2500 0.2500 0.2500
Pt1 Pt 0.0000 0.0000 0.5000
# total magnetization: 0.00 Bohr magnetons per cell
# formation energy from the elements: 1.150 eV per atom

No. 7
# CsRb3Ag3, relaxed, DFT GGA-PBE
data_CsRb3Ag3
_chemical_formula_sum 'Cs2 Rb6 Ag6'
_cell_length_a 9.8241
_cell_length_b 9.8241
_cell_length_c 9.8241
_cell_angle_alpha 90.00
_cell_angle_beta 90.00
_cell_angle_gamma 90.00
_symmetry_space_group_name_H-M 'P m -3 n'
_symmetry_Int_Tables_number 223
_symmetry_space_group_name_Hall '-P 4n 2 3'
loop_
_atom_site_label
_atom_site_type_symbol
_atom_site_fract_x
_atom_site_fract_y
_atom_site_fract_z
Cs1 Cs 0.0000 0.0000 0.0000
Rb1 Rb 0.0000 0.2500 0.5000
Ag1 Ag 0.0000 0.5000 0.2500
# total magnetization: 0.00 Bohr magnetons per cell
# formation energy from the elements: 0.206 eV per atom

No. 8
# Li3ScB, relaxed, DFT GGA-PBE
data_Li3ScB
_chemical_formula_sum 'Li3 Sc1 B1'
_cell_length_a 5.2197
_cell_length_b 5.2197
_cell_length_c 5.2197
_cell_angle_alpha 90.00
_cell_angle_beta 90.00
_cell_angle_gamma 90.00
_symmetry_space_group_name_H-M 'P m -3 m'
_symmetry_Int_Tables_number 221
_symmetry_space_group_name_Hall '-P 4 2 3'
loop_
_atom_site_label
_atom_site_type_symbol
_atom_site_fract_x
_atom_site_fract_y
_atom_site_fract_z
Li1 Li 0.0000 0.0000 0.5000
Sc1 Sc 0.0000 0.0000 0.0000
B1 B 0.5000 0.5000 0.5000
# total magnetization: 1.37 Bohr magnetons per cell
# formation energy from the elements: 1.869 eV per atom
# distance to the lowest polymorph of the same formula: 1.4439 eV/atom

No. 9
# CaScTl, relaxed, DFT GGA-PBE
data_CaScTl
_chemical_formula_sum 'Ca1 Sc1 Tl1'
_cell_length_a 5.1562
_cell_length_b 5.1562
_cell_length_c 3.7054
_cell_angle_alpha 90.00
_cell_angle_beta 90.00
_cell_angle_gamma 120.00
_symmetry_space_group_name_H-M 'P 3 m 1'
_symmetry_Int_Tables_number 156
loop_
_symmetry_equiv_pos_as_xyz
'x,y,z'
'-y,x-y,z'
'-x+y,-x,z'
'-y,-x,z'
'-x+y,y,z'
'x,x-y,z'
loop_
_atom_site_label
_atom_site_type_symbol
_atom_site_fract_x
_atom_site_fract_y
_atom_site_fract_z
Ca1 Ca 0.0000 0.0000 0.0000
Sc1 Sc 0.6667 0.3333 0.4774
Tl1 Tl 0.3333 0.6667 0.5544
# total magnetization: 0.00 Bohr magnetons per cell
# formation energy from the elements: -0.134 eV per atom
# distance to the lowest polymorph of the same formula: 0.1529 eV/atom

No. 10
# La2ZrGe3Rh4, relaxed, DFT GGA-PBE
data_La2ZrGe3Rh4
_chemical_formula_sum 'La2 Zr1 Ge3 Rh4'
_cell_length_a 4.2214
_cell_length_b 4.2214
_cell_length_c 11.0017
_cell_angle_alpha 90.00
_cell_angle_beta 90.00
_cell_angle_gamma 90.00
_symmetry_space_group_name_H-M 'P -4 m 2'
_symmetry_Int_Tables_number 115
loop_
_symmetry_equiv_pos_as_xyz
'x,y,z'
'y,-x,-z'
'-x,-y,z'
'-y,x,-z'
'-x,y,z'
'-y,-x,-z'
'x,-y,z'
'y,x,-z'
loop_
_atom_site_label
_atom_site_type_symbol
_atom_site_fract_x
_atom_site_fract_y
_atom_site_fract_z
La1 La 0.0000 0.5000 0.2370
Zr1 Zr 0.0000 0.0000 0.5000
Ge1 Ge 0.0000 0.5000 0.8779
Ge2 Ge 0.5000 0.5000 0.5000
Rh1 Rh 0.0000 0.0000 0.0000
Rh2 Rh 0.0000 0.5000 0.6486
Rh3 Rh 0.5000 0.5000 0.0000
# total magnetization: 0.00 Bohr magnetons per cell
# formation energy from the elements: -0.912 eV per atom

No. 11
# RbHoAgCl6, relaxed, DFT GGA-PBE
data_RbHoAgCl6
_chemical_formula_sum 'Rb1 Ho1 Ag1 Cl6'
_cell_length_a 6.7772
_cell_length_b 6.7827
_cell_length_c 7.3455
_cell_angle_alpha 92.02
_cell_angle_beta 92.10
_cell_angle_gamma 115.70
_symmetry_space_group_name_H-M 'P 1'
_symmetry_Int_Tables_number 1
loop_
_symmetry_equiv_pos_as_xyz
'x,y,z'
loop_
_atom_site_label
_atom_site_type_symbol
_atom_site_fract_x
_atom_site_fract_y
_atom_site_fract_z
Rb1 Rb 0.0000 0.0000 0.0000
Ho1 Ho 0.3355 0.6651 0.5005
Ag1 Ag 0.6796 0.3205 0.5001
Cl1 Cl 0.0182 0.3567 0.6799
Cl2 Cl 0.0350 0.6269 0.2620
Cl3 Cl 0.3748 0.9645 0.7398
Cl4 Cl 0.4005 0.3625 0.2935
Cl5 Cl 0.6380 0.5988 0.7071
Cl6 Cl 0.6432 0.9823 0.3205
# energy relative to the elements, uncorrected: -1.574 eV/atom
# total magnetization: 1.06 Bohr magnetons per cell

No. 12
# LaAlIr, relaxed, DFT GGA-PBE
data_LaAlIr
_chemical_formula_sum 'La1 Al1 Ir1'
_cell_length_a 4.3399
_cell_length_b 4.3399
_cell_length_c 4.1905
_cell_angle_alpha 90.00
_cell_angle_beta 90.00
_cell_angle_gamma 120.00
_symmetry_space_group_name_H-M 'P -6 m 2'
_symmetry_Int_Tables_number 187
_symmetry_space_group_name_Hall 'P -6 2'
loop_
_atom_site_label
_atom_site_type_symbol
_atom_site_fract_x
_atom_site_fract_y
_atom_site_fract_z
La1 La 0.0000 0.0000 0.0000
Al1 Al 0.3333 0.6667 0.5000
Ir1 Ir 0.6667 0.3333 0.5000
# total magnetization: 0.00 Bohr magnetons per cell
# formation energy from the elements: -0.719 eV per atom